DFT (PBE-GGA) results for an optimized crystal structure of TcRhAu3.

Calculated volume in Å³/atom: 24.63
Offset from the most stable computed form in meV per atom: 0
Energy of formation in eV/atom: 1.46

Cell and atoms, written as CIF:
```
data_TcRhAu3
_chemical_formula_sum 'Tc1 Rh1 Au3'
_cell_length_a 4.975
_cell_length_b 4.975
_cell_length_c 4.975
_cell_angle_alpha 90.00
_cell_angle_beta 90.00
_cell_angle_gamma 90.00
_space_group_name_H-M_alt 'P m -3 m'
_space_group_IT_number 221
_space_group_name_Hall '-P 4 2 3'
loop_
_atom_site_label
_atom_site_fract_x
_atom_site_fract_y
_atom_site_fract_z
Tc1 0.000 0.000 0.000
Rh1 0.500 0.500 0.500
Au1 0.000 0.500 0.500
```